# 1
DFT (PBE) results for a geometry-optimized Sm3Tl2N structure.

POSCAR file:
```
Sm3Tl2N
1.0
-3.8770 -3.0538 -0.2485
2.8189 -4.0269 5.5072
-3.4757 8.1832 2.7954
N Tl Sm
2 4 6
direct
0.0000 0.2500 0.0000
0.0000 0.7500 0.0000
0.6945 0.4452 0.3890
0.3055 0.5548 0.6110
0.6945 0.9452 0.3890
0.3055 0.0548 0.6110
0.1055 0.1059 0.2109
0.8945 0.3941 0.7891
0.8945 0.8941 0.7891
0.5000 0.7500 0.0000
0.5000 0.2500 0.0000
0.1055 0.6059 0.2109
```

Calculated values
E_form (uncorrected) = -0.707 eV per atom
space-group type = C2/m


# 2
DFT (PBE) results for a geometry-optimized Sm4TlN structure.

POSCAR file:
```
Sm4TlN
1.0
5.8363 -0.0016 0.0038
-0.0029 7.2978 0.2850
-2.9123 -2.7235 7.5001
Sm N Tl
8 2 2
direct
0.8248 0.8031 0.6171
0.3534 0.5771 0.7748
0.1752 0.1969 0.3829
0.4208 0.0770 0.7749
0.7920 0.3031 0.6171
0.5792 0.9230 0.2251
0.6466 0.4229 0.2252
0.2080 0.6969 0.3829
0.0000 0.5000 0.5000
0.5000 0.0000 0.5000
0.0346 0.2501 0.0000
0.9654 0.7499 0.0000
```

Calculated values
E_form (uncorrected) = -0.568 eV per atom
space-group type = P-1


# 3
DFT (PBE) results for a geometry-optimized Sm4Tl2N structure.

POSCAR file:
```
Sm4Tl2N
1.0
-3.2003 -0.3056 -1.3705
-1.2249 -3.4071 3.6199
-3.2404 10.5516 5.2143
Tl Sm N
2 4 1
direct
0.5000 0.1588 0.3177
0.5000 0.8412 0.6823
0.5000 0.5671 0.1342
0.0000 0.7013 0.4026
0.5000 0.4329 0.8658
0.0000 0.2987 0.5974
0.0000 0.5000 0.0000
```

Calculated values
E_form (uncorrected) = -0.363 eV per atom
space-group type = Cmmm


Number 1: theoretical density 9.7 g/cm³. Number 2: theoretical density 8.4 g/cm³. Number 3: theoretical density 8.0 g/cm³.